First-principles (PBEsol) data for an optimized crystal structure of Ca2GeN2, as listed in Alexandria via LeMat-Bulk.

Output
magnetic moment	0.000	μB per formula unit
uncorrected formation energy	-4.70	eV per formula unit
Fermi-level density of states	2.7	states/eV per cell

Structure (POSCAR):
```
Ca2GeN2
1.0
-4.643 0.980 -1.520
-3.499 -0.250 10.527
1.993 10.876 0.921
N Ca Ge
16 16 8
Cartesian
-4.235 5.820 8.520
-3.113 7.260 6.019
-0.049 8.981 5.937
-0.300 0.927 1.513
-1.526 11.181 3.700
0.639 3.663 0.408
-1.914 5.787 1.408
-0.101 6.308 4.374
-1.206 9.700 9.935
-4.623 0.425 6.227
-0.908 9.865 0.965
-2.145 6.963 11.040
-3.036 4.346 3.909
-5.241 1.741 8.962
-1.405 4.318 7.074
-1.457 1.645 5.511
-1.099 7.552 0.057
-3.700 1.999 4.423
-5.050 4.054 9.870
-3.688 4.956 6.291
-0.756 3.889 4.814
-0.750 6.737 6.633
-2.973 1.211 9.861
-2.461 6.650 3.636
-1.184 0.138 3.706
-2.020 5.000 9.391
0.514 5.627 2.056
-2.449 9.607 5.505
-0.322 10.488 7.742
-2.637 1.270 0.705
-3.512 10.336 9.222
1.467 9.415 1.586
-2.497 4.160 2.143
-1.531 9.596 2.693
-1.464 7.900 9.562
0.303 8.118 4.307
-1.809 2.508 7.141
-0.042 2.726 1.886
-4.618 2.010 7.234
-3.652 7.446 7.785
```